Entry 1:
A plane-wave DFT calculation with PBE-GGA was carried out for crystalline FeP2Ru at its relaxed geometry.

Its energy relative to the lowest polymorph listed for this composition is 168.9 meV per atom. The calculation puts the energy relative to the elements at -0.21 eV/atom. The total magnetic moment is 0.1999 μB/atom. The value obtained for the raw total energy is -7.35 eV/atom.

Cell lengths 7.210, 7.210, 7.210 Å; angles 22.72, 22.72, 22.72 degrees
Atoms (fractional coordinates):
1 Fe 0.000 0.000 0.000
2 P 0.254 0.254 0.254
3 P 0.746 0.746 0.746
4 Ru 0.500 0.500 0.500

=====

Entry 2:
A plane-wave DFT calculation with PBE-GGA was carried out for crystalline FeP2Ru at its relaxed geometry.

Its energy relative to the lowest polymorph listed for this composition is 207.3 meV per atom. The calculation puts the energy relative to the elements at -0.17 eV/atom. The total magnetic moment is 0.0000 μB/atom. The value obtained for the raw total energy is -7.31 eV/atom.

Cell lengths 6.217, 6.217, 6.217 Å; angles 131.54, 131.54, 70.96 degrees
Atoms (fractional coordinates):
1 Fe 0.000 0.000 0.000
2 Fe 0.750 0.250 0.500
3 P 0.106 0.625 0.981
4 P 0.375 0.356 0.481
5 P 0.644 0.125 0.019
6 P 0.875 0.894 0.519
7 Ru 0.250 0.750 0.500
8 Ru 0.500 0.500 0.000

=====

Entry 3:
A plane-wave DFT calculation with PBE-GGA was carried out for crystalline FePRu at its relaxed geometry.

The calculation puts the energy relative to the elements at 0.00 eV/atom. The total magnetic moment is 0.9203 μB/atom. The value obtained for the raw total energy is -7.72 eV/atom.

Cell lengths 4.297, 4.297, 4.297 Å; angles 141.36, 128.50, 66.20 degrees
Atoms (fractional coordinates):
1 Fe 0.000 0.000 0.000
2 P 0.678 0.678 0.000
3 Ru 0.344 0.344 0.000

=====

Entry 4:
A plane-wave DFT calculation with PBE-GGA was carried out for crystalline FeP2Ru at its relaxed geometry.

Its energy relative to the lowest polymorph listed for this composition is 374.5 meV per atom. The calculation puts the energy relative to the elements at -0.01 eV/atom. The total magnetic moment is 0.5351 μB/atom. The value obtained for the raw total energy is -7.14 eV/atom.

Cell lengths 3.298, 3.793, 4.443 Å; angles 90.00, 95.06, 90.00 degrees
Atoms (fractional coordinates):
1 Fe 0.000 0.000 0.000
2 P 0.312 0.500 0.195
3 P 0.688 0.500 0.805
4 Ru 0.500 0.000 0.500

=====

Entry 5:
A plane-wave DFT calculation with PBE-GGA was carried out for crystalline FeP2Ru at its relaxed geometry.

Its energy relative to the lowest polymorph listed for this composition is 0.0 meV per atom. The calculation puts the energy relative to the elements at -0.38 eV/atom. The total magnetic moment is 0.0001 μB/atom. The value obtained for the raw total energy is -7.52 eV/atom.

Cell lengths 4.020, 4.020, 4.762 Å; angles 102.25, 102.25, 44.04 degrees
Atoms (fractional coordinates):
1 Fe 0.000 0.000 0.000
2 P 0.478 0.478 0.351
3 P 0.704 0.704 0.943
4 Ru 0.220 0.220 0.568

=====

Entry 6:
A plane-wave DFT calculation with PBE-GGA was carried out for crystalline Fe2P2Ru at its relaxed geometry.

The calculation puts the energy relative to the elements at -0.27 eV/atom. The total magnetic moment is 0.0000 μB/atom. The value obtained for the raw total energy is -7.68 eV/atom.

Cell lengths 6.506, 6.506, 2.665 Å; angles 90.00, 90.00, 90.00 degrees
Atoms (fractional coordinates):
1 Fe 0.142 0.358 0.000
2 Fe 0.358 0.858 0.000
3 Fe 0.642 0.142 0.000
4 Fe 0.858 0.642 0.000
5 P 0.155 0.655 0.500
6 P 0.345 0.155 0.500
7 P 0.655 0.845 0.500
8 P 0.845 0.345 0.500
9 Ru 0.000 0.000 0.500
10 Ru 0.500 0.500 0.500